Compound: AcCeErZn
Source: Alexandria
Functional: PBE
Structure: relaxed

The calculated density is 8.43 Mg/m³. The value obtained for the formation energy is 0.217 eV/atom. The calculation puts the volume at 29.54 Å³/atom. The total magnetization comes out at 6.5 μB per cell.

The space group is F-43m (No. 216) and the conventional cell measures 7.790, 7.790 and 7.790 Å, with angles of 90.00, 90.00 and 90.00 degrees. The asymmetric unit holds Ac at (0.000, 0.000, 0.000), Ce at (0.250, 0.250, 0.750), Er at (0.250, 0.250, 0.250) and Zn at (0.000, 0.000, 0.500).

---

Compound: Zr2MoRh
Source: Alexandria
Functional: PBE
Structure: relaxed

The calculated density is 8.64 Mg/m³. The value obtained for the formation energy is -0.177 eV/atom. The calculation puts the volume at 18.31 Å³/atom. The total magnetization comes out at 0.0 μB per cell.

The space group is C2/m (No. 12) and the conventional cell measures 6.053, 8.716 and 2.984 Å, with angles of 90.00, 111.47 and 90.00 degrees. The asymmetric unit holds Zr at (0.250, 0.250, 0.000), Mo at (0.000, 0.000, 0.500) and Rh at (0.000, 0.500, 0.500).

---

Compound: TbPtAu3
Source: Alexandria
Functional: PBE
Structure: relaxed

The calculated density is 12.39 Mg/m³. The value obtained for the formation energy is -0.267 eV/atom. The calculation puts the volume at 25.33 Å³/atom. The total magnetization comes out at 0.0 μB per cell.

The space group is I-4m2 (No. 119) and the conventional cell measures 5.208, 5.208 and 18.678 Å, with angles of 90.00, 90.00 and 90.00 degrees. The asymmetric unit holds Tb at (0.000, 0.000, 0.174), Pt at (0.000, 0.000, 0.500), Pt at (0.000, 0.500, 0.750), Au at (0.000, 0.249, 0.623) and Au at (0.000, 0.500, 0.077).